Record 1
DFT (PBE-GGA) results for a relaxed Na8Ag2Au crystal. Values from VASP.

## Properties
Formation enthalpy at 0 K   -6.96 kJ/mol of atoms
Excess energy over the best structure of this formula in the dataset   0.0 kJ per mole of atoms
DOS(E_F)   2.90 states/eV/cell

Quantum ESPRESSO input file:
```
&SYSTEM
  ibrav = 0, nat = 11, ntyp = 3
/
ATOMIC_SPECIES
Na 22.99 Na.upf
Ag 107.87 Ag.upf
Au 196.97 Au.upf
ATOMIC_POSITIONS crystal
Na 0.1944 0.2782 0.3888
Ag 0.8196 0.3151 0.6392
Na 0.3370 0.0586 0.6740
Ag 0.1804 0.6849 0.3608
Na 0.4007 0.5617 0.8014
Na 0.0221 0.7823 0.0443
Na 0.8056 0.7218 0.6112
Na 0.6630 0.9414 0.3260
Na 0.5993 0.4383 0.1986
Na 0.9779 0.2177 0.9557
Au 0.5000 0.0000 0.0000
CELL_PARAMETERS angstrom
5.0743 0.0000 0.0000
0.0000 7.3810 -0.0383
-2.5371 -3.2065 8.1637
```


Record 2
DFT (PBE-GGA) results for a relaxed PmAg2SbS4 crystal. Values from VASP.

## Properties
Raw formation energy   -0.686 eV per atom

Quantum ESPRESSO input file:
```
&SYSTEM
  ibrav = 0, nat = 16, ntyp = 4
/
ATOMIC_SPECIES
S 32.06 S.upf
Ag 107.87 Ag.upf
Sb 121.76 Sb.upf
Pm 145.00 Pm.upf
ATOMIC_POSITIONS crystal
S 0.2483 0.2533 0.0022
Ag 0.5000 0.5000 0.0000
Sb 0.0000 0.0000 0.0000
Ag 0.5000 0.0000 0.5000
S 0.7382 0.2565 0.4982
S 0.7533 0.7483 0.5022
S 0.7565 0.2382 0.9982
S 0.2467 0.2517 0.4978
Pm 0.0000 0.5000 0.0000
S 0.7517 0.7467 0.9978
S 0.2618 0.7435 0.5018
Sb 0.5000 0.5000 0.5000
Pm 0.0000 0.5000 0.5000
Ag 0.0000 0.0000 0.5000
Ag 0.5000 0.0000 0.0000
S 0.2435 0.7618 0.0018
CELL_PARAMETERS angstrom
7.9974 -0.1072 -0.1298
-0.1128 7.9973 -0.1298
-3.9966 -3.9994 5.7275
```


Record 3
DFT (PBE-GGA) results for a relaxed ScCSeBr2 crystal. Values from VASP.

## Properties
Raw formation energy   0.540 eV per atom
Excess energy over the best structure of this formula in the dataset   0.0 kJ per mole of atoms
DOS(E_F)   3.40 states/eV/cell

Quantum ESPRESSO input file:
```
&SYSTEM
  ibrav = 0, nat = 5, ntyp = 4
/
ATOMIC_SPECIES
Br 79.90 Br.upf
C 12.01 C.upf
Sc 44.96 Sc.upf
Se 78.96 Se.upf
ATOMIC_POSITIONS crystal
Br 0.0000 0.5000 0.0000
Br 0.5000 0.0000 0.0000
C 0.0000 0.0000 0.0000
Sc 0.5000 0.5000 0.5000
Se 0.0000 0.0000 0.5000
CELL_PARAMETERS angstrom
4.6238 0.0000 0.0000
0.0000 4.6238 0.0000
0.0000 0.0000 4.5713
```


Record 4
DFT (PBE-GGA) results for a relaxed TiBe9Nb2 crystal. Values from VASP.

## Properties
Formation enthalpy at 0 K   -21.15 kJ/mol of atoms
Excess energy over the best structure of this formula in the dataset   0.5 kJ per mole of atoms
DOS(E_F)   11.51 states/eV/cell

Quantum ESPRESSO input file:
```
&SYSTEM
  ibrav = 0, nat = 24, ntyp = 3
/
ATOMIC_SPECIES
Be 9.01 Be.upf
Nb 92.91 Nb.upf
Ti 47.87 Ti.upf
ATOMIC_POSITIONS crystal
Be 0.1685 0.8315 0.1279
Nb 0.6667 0.3333 0.4618
Ti 0.3333 0.6667 0.7500
Be 0.0000 0.0000 0.7500
Nb 0.3333 0.6667 0.9618
Be 0.8315 0.6629 0.8721
Ti 0.6667 0.3333 0.2500
Be 0.6629 0.8315 0.3721
Be 0.1685 0.3371 0.1279
Nb 0.3333 0.6667 0.5382
Be 0.0000 0.0000 0.5000
Be 0.0000 0.0000 0.2500
Be 0.1685 0.8315 0.3721
Be 0.3333 0.6667 0.2500
Be 0.8315 0.1685 0.6279
Be 0.3371 0.1685 0.6279
Be 0.8315 0.6629 0.6279
Be 0.6629 0.8315 0.1279
Be 0.1685 0.3371 0.3721
Nb 0.6667 0.3333 0.0382
Be 0.0000 0.0000 0.0000
Be 0.8315 0.1685 0.8721
Be 0.6667 0.3333 0.7500
Be 0.3371 0.1685 0.8721
CELL_PARAMETERS angstrom
-3.6712 -2.5242 -0.9842
3.9829 -2.0274 0.9190
-3.3650 -0.4257 13.6443
```


Record 5
DFT (PBE-GGA) results for a relaxed In3Hg6I2 crystal. Values from VASP.

## Properties
Raw formation energy   -0.124 eV per atom
DOS(E_F)   2.43 states/eV/cell

Quantum ESPRESSO input file:
```
&SYSTEM
  ibrav = 0, nat = 11, ntyp = 3
/
ATOMIC_SPECIES
Hg 200.59 Hg.upf
I 126.90 I.upf
In 114.82 In.upf
ATOMIC_POSITIONS crystal
Hg 0.5000 0.0000 0.2452
Hg 0.5000 0.7548 0.7548
Hg 0.0000 0.0000 0.7921
I 0.0000 0.6667 0.3333
In 0.5000 0.0000 0.5613
In 0.5000 0.4387 0.4387
Hg 0.0000 0.2079 0.2079
In 0.5000 0.5613 0.0000
Hg 0.0000 0.7921 0.0000
I 0.0000 0.3333 0.6667
Hg 0.5000 0.2452 0.0000
CELL_PARAMETERS angstrom
4.6593 0.0000 0.0000
0.0000 8.1768 -4.7209
0.0000 0.0000 9.4417
```


Record 6
DFT (PBE-GGA) results for a relaxed LaLuBi crystal. Values from VASP.

## Properties
Formation enthalpy at 0 K   -44.66 kJ/mol of atoms
Excess energy over the best structure of this formula in the dataset   0.0 kJ per mole of atoms
DOS(E_F)   2.41 states/eV/cell

Quantum ESPRESSO input file:
```
&SYSTEM
  ibrav = 0, nat = 3, ntyp = 3
/
ATOMIC_SPECIES
Lu 174.97 Lu.upf
La 138.91 La.upf
Bi 208.98 Bi.upf
ATOMIC_POSITIONS crystal
Lu 0.2609 0.2609 0.5219
La 0.9578 0.9578 0.9157
Bi 0.6312 0.6312 0.2625
CELL_PARAMETERS angstrom
-0.4370 3.9629 0.8466
0.2395 -0.8248 3.9843
5.8082 -0.8959 -2.6192
```


Record 7
DFT (PBE-GGA) results for a relaxed GdHoTm2 crystal. Values from VASP.

## Properties
Formation enthalpy at 0 K   2.74 kJ/mol of atoms
Excess energy over the best structure of this formula in the dataset   0.3 kJ per mole of atoms
DOS(E_F)   6.17 states/eV/cell

Quantum ESPRESSO input file:
```
&SYSTEM
  ibrav = 0, nat = 4, ntyp = 3
/
ATOMIC_SPECIES
Tm 168.93 Tm.upf
Gd 157.25 Gd.upf
Ho 164.93 Ho.upf
ATOMIC_POSITIONS crystal
Tm 0.0000 0.0000 0.7473
Gd 0.5000 0.5000 0.0000
Ho 0.5000 0.5000 0.5000
Tm 0.0000 0.0000 0.2527
CELL_PARAMETERS angstrom
-1.3634 3.2139 0.4299
-2.8516 -1.4105 1.5007
4.3706 0.6601 8.9258
```


Record 8
DFT (PBE-GGA) results for a relaxed Rb3SiIr crystal. Values from VASP.

## Properties
Raw formation energy   1.073 eV per atom
DOS(E_F)   3.18 states/eV/cell

Quantum ESPRESSO input file:
```
&SYSTEM
  ibrav = 0, nat = 5, ntyp = 3
/
ATOMIC_SPECIES
Rb 85.47 Rb.upf
Ir 192.22 Ir.upf
Si 28.09 Si.upf
ATOMIC_POSITIONS crystal
Rb 0.0000 0.5000 0.0000
Ir 0.0000 0.0000 0.0000
Si 0.5000 0.5000 0.5000
Rb 0.5000 0.0000 0.0000
Rb 0.0000 0.0000 0.5000
CELL_PARAMETERS angstrom
6.3365 0.0000 0.0000
0.0000 6.3365 0.0000
0.0000 0.0000 6.3365
```


Record 9
DFT (PBE-GGA) results for a relaxed Mg3AlGa6 crystal. Values from VASP.

## Properties
Formation enthalpy at 0 K   -5.34 kJ/mol of atoms
DOS(E_F)   7.09 states/eV/cell

Quantum ESPRESSO input file:
```
&SYSTEM
  ibrav = 0, nat = 20, ntyp = 3
/
ATOMIC_SPECIES
Ga 69.72 Ga.upf
Mg 24.30 Mg.upf
Al 26.98 Al.upf
ATOMIC_POSITIONS crystal
Ga 0.5012 0.7517 0.6022
Ga 0.4988 0.5041 0.8127
Ga 0.0012 0.0041 0.6873
Ga 0.9988 0.2517 0.8978
Mg 0.5000 0.5000 0.0000
Ga 0.9988 0.9959 0.3127
Ga 0.0003 0.2446 0.1026
Ga 0.5012 0.4959 0.1873
Mg 0.4995 0.9957 0.2015
Ga 0.5003 0.2554 0.6026
Al 0.0000 0.0000 0.0000
Mg 0.0000 0.0000 0.5000
Mg 0.0005 0.4957 0.2985
Ga 0.4988 0.2483 0.3978
Mg 0.9995 0.5043 0.7015
Ga 0.0012 0.7483 0.1022
Ga 0.4997 0.7446 0.3974
Mg 0.5005 0.0043 0.7985
Al 0.5000 0.5000 0.5000
Ga 0.9997 0.7554 0.8974
CELL_PARAMETERS angstrom
-0.2127 -2.7189 1.0964
2.8906 1.7145 4.8124
-19.2681 5.3887 9.6538
```


Record 10
DFT (PBE-GGA) results for a relaxed LaZnGa2 crystal. Values from VASP.

## Properties
Formation enthalpy at 0 K   -25.13 kJ/mol of atoms
DOS(E_F)   3.42 states/eV/cell

Quantum ESPRESSO input file:
```
&SYSTEM
  ibrav = 0, nat = 8, ntyp = 3
/
ATOMIC_SPECIES
Ga 69.72 Ga.upf
Zn 65.41 Zn.upf
La 138.91 La.upf
ATOMIC_POSITIONS crystal
Ga 0.3750 0.5247 0.7500
Ga 0.8750 0.7253 0.7500
Zn 0.5000 0.5000 0.0000
Zn 0.2500 0.7500 0.5000
La 0.0000 0.0000 0.0000
Ga 0.2747 0.6250 0.2500
La 0.7500 0.2500 0.5000
Ga 0.4753 0.1250 0.2500
CELL_PARAMETERS angstrom
-2.1256 -3.6185 -2.3643
4.1466 -0.9632 -2.2539
3.2954 -7.9636 4.3188
```


Record 11
DFT (PBE-GGA) results for a relaxed Rb2BeInAs2 crystal. Values from VASP.

## Properties
Formation enthalpy at 0 K   -22.53 kJ/mol of atoms
DOS(E_F)   3.04 states/eV/cell

Quantum ESPRESSO input file:
```
&SYSTEM
  ibrav = 0, nat = 12, ntyp = 4
/
ATOMIC_SPECIES
Be 9.01 Be.upf
Rb 85.47 Rb.upf
As 74.92 As.upf
In 114.82 In.upf
ATOMIC_POSITIONS crystal
Be 0.5000 0.7500 0.0000
Rb 0.0758 0.3286 0.6572
Rb 0.4186 0.1714 0.3428
As 0.3855 0.5813 0.1625
In 0.0000 0.7500 0.0000
Be 0.5000 0.2500 0.0000
As 0.6145 0.4187 0.8375
In 0.0000 0.2500 0.0000
Rb 0.5814 0.8286 0.6572
Rb 0.9242 0.6714 0.3428
As 0.2230 0.9187 0.8375
As 0.7770 0.0813 0.1625
CELL_PARAMETERS angstrom
6.7531 0.0000 0.0000
0.0000 6.5207 0.0000
-3.3766 -3.2604 7.8720
```


Record 12
DFT (PBE-GGA) results for a relaxed CrPRh2 crystal. Values from VASP.

## Properties
Formation enthalpy at 0 K   -18.48 kJ/mol of atoms
DOS(E_F)   3.18 states/eV/cell

Quantum ESPRESSO input file:
```
&SYSTEM
  ibrav = 0, nat = 4, ntyp = 3
/
ATOMIC_SPECIES
P 30.97 P.upf
Rh 102.91 Rh.upf
Cr 52.00 Cr.upf
ATOMIC_POSITIONS crystal
P 0.5000 0.7500 0.7500
Rh 0.0000 0.8709 0.9914
Cr 0.5000 0.2500 0.2500
Rh 0.0000 0.6291 0.5086
CELL_PARAMETERS angstrom
3.8384 0.0000 0.0000
0.0000 2.7812 -0.0076
0.0000 1.5424 4.9853
```


| no. | volume (A^3/atom) |
| --- | --- |
| 1 | 27.74 |
| 2 | 22.36 |
| 3 | 19.55 |
| 4 | 10.56 |
| 5 | 32.70 |
| 6 | 31.85 |
| 7 | 30.81 |
| 8 | 50.88 |
| 9 | 19.16 |
| 10 | 26.16 |
| 11 | 28.89 |
| 12 | 13.32 |